Computed, not measured: a PBEsol-optimized structure of MgZr2Os at the SCAN level of DFT.

## Properties
volume: 19.04 A^3/atom
formation energy from the elements: -311 meV/atom
Fermi-level density of states: 1.653 states/eV/f.u.
raw total energy: -34.874 eV per atom

```
MgZr2Os
1.0
3.283 0.000 0.000
0.000 3.283 0.000
0.000 0.000 7.066
Mg Zr Os
1 2 1
Cartesian
0.000 0.000 0.000
1.642 1.642 1.936
1.642 1.642 5.129
0.000 0.000 3.533
```

---

Computed, not measured: a PBEsol-optimized structure of MgP5 at the SCAN level of DFT.

## Properties
volume: 15.75 A^3/atom
formation energy from the elements: 519 meV/atom
Fermi-level density of states: 2.947 states/eV/f.u.
raw total energy: -8.975 eV per atom

```
MgP5
1.0
4.719 0.000 0.000
-2.360 4.087 0.000
0.000 0.000 4.899
Mg P
1 5
Cartesian
0.000 0.000 0.000
-1.707 2.957 2.449
0.653 1.130 2.449
0.000 2.725 0.000
2.360 1.362 0.000
3.414 0.000 2.449
```

---

Computed, not measured: a PBEsol-optimized structure of Mg2P at the SCAN level of DFT.

## Properties
volume: 19.07 A^3/atom
energy above the lowest structure with this stoichiometry: 0.76 eV per formula unit
formation energy from the elements: -147 meV/atom
Fermi-level density of states: 0.990 states/eV/f.u.
raw total energy: -6.929 eV per atom

```
Mg2P
1.0
2.911 0.000 0.000
0.000 3.478 0.000
0.000 0.000 11.301
Mg P
4 2
Cartesian
0.000 0.000 1.601
0.000 0.000 9.699
1.456 1.739 4.049
1.456 1.739 7.252
0.000 0.000 5.650
1.456 1.739 0.000
```

---

Computed, not measured: a PBEsol-optimized structure of Mg2P at the SCAN level of DFT.

## Properties
volume: 21.77 A^3/atom
energy above the lowest structure with this stoichiometry: 0.00 eV per formula unit
formation energy from the elements: -400 meV/atom
Fermi-level density of states: 1.244 states/eV/f.u.
raw total energy: -7.182 eV per atom

```
Mg2P
1.0
5.738 0.000 0.000
0.000 5.796 0.000
0.000 0.000 3.928
Mg P
4 2
Cartesian
1.383 0.749 0.000
1.486 3.647 1.964
4.252 2.149 1.964
4.355 5.047 0.000
0.000 2.898 0.000
2.869 0.000 1.964
```

---

Computed, not measured: a PBEsol-optimized structure of MgP3 at the SCAN level of DFT.

## Properties
volume: 16.12 A^3/atom
formation energy from the elements: -77 meV/atom
Fermi-level density of states: 0.823 states/eV/f.u.
raw total energy: -9.119 eV per atom

```
MgP3
1.0
3.454 0.000 0.000
-1.727 2.991 0.000
0.000 0.000 18.721
Mg P
3 9
Cartesian
0.000 0.000 0.000
0.000 1.994 12.480
1.727 0.997 6.240
0.000 0.000 4.428
0.000 0.000 9.360
0.000 0.000 14.293
0.000 1.994 3.120
0.000 1.994 8.053
0.000 1.994 16.908
1.727 0.997 1.812
1.727 0.997 10.668
1.727 0.997 15.601
```

---

Computed, not measured: a PBEsol-optimized structure of MgP3 at the SCAN level of DFT.

## Properties
volume: 16.88 A^3/atom
formation energy from the elements: 115 meV/atom
Fermi-level density of states: 1.459 states/eV/f.u.
raw total energy: -8.928 eV per atom

```
MgP3
1.0
3.710 0.000 0.000
0.000 8.394 0.000
0.000 0.000 4.337
Mg P
2 6
Cartesian
0.000 0.000 0.000
1.855 4.197 2.168
0.000 2.388 3.201
0.000 4.197 0.086
0.000 6.006 3.201
1.855 0.000 2.254
1.855 1.809 1.033
1.855 6.585 1.033
```

---

Computed, not measured: a PBEsol-optimized structure of Mg5P4 at the SCAN level of DFT.

## Properties
volume: 18.55 A^3/atom
formation energy from the elements: -127 meV/atom
Fermi-level density of states: 3.667 states/eV/f.u.
raw total energy: -7.511 eV per atom

```
Mg5P4
1.0
-4.498 4.498 2.063
4.498 -4.498 2.063
4.498 4.498 -2.063
Mg P
5 4
Cartesian
0.000 0.000 0.000
2.930 2.930 0.000
1.568 -1.568 2.063
-1.568 1.568 2.063
1.568 1.568 2.063
2.530 0.000 0.000
6.467 0.000 0.000
0.000 2.530 0.000
0.000 6.467 0.000
```

---

Computed, not measured: a PBEsol-optimized structure of MgP4Pb at the SCAN level of DFT.

## Properties
volume: 17.84 A^3/atom
formation energy from the elements: 510 meV/atom
Fermi-level density of states: 3.786 states/eV/f.u.
raw total energy: -19.882 eV per atom

```
MgP4Pb
1.0
0.000 3.768 3.768
3.768 0.000 3.768
3.768 3.768 0.000
Mg P Pb
1 4 1
Cartesian
0.000 0.000 0.000
2.777 2.777 2.777
4.759 4.759 2.777
4.759 2.777 4.759
2.777 4.759 4.759
5.653 5.653 5.653
```